Entry 1:
! Pm6AgAu5 PBE-GGA optimized geometry; values from VASP
! **Symmetry**: C2/m, No. 12
! **Energy relative to the elements**: -8.42 eV per formula unit
&SYSTEM
  ibrav = 0, nat = 12, ntyp = 3
/
ATOMIC_SPECIES
Pm 145.00 Pm.upf
Ag 107.87 Ag.upf
Au 196.97 Au.upf
CELL_PARAMETERS angstrom
4.5273 -7.8454 0.0000
4.5273 7.8454 0.0000
-3.0116 0.0000 4.2701
ATOMIC_POSITIONS crystal
Pm 0.0795 0.4164 0.7477
Pm 0.2453 0.2453 0.2451
Pm 0.4164 0.0795 0.7477
Pm 0.5836 0.9205 0.2523
Pm 0.7547 0.7547 0.7549
Pm 0.9205 0.5836 0.2523
Ag 0.5000 0.5000 0.0000
Au 0.0000 0.0000 0.5000
Au 0.1680 0.8320 0.0000
Au 0.3410 0.6590 0.5000
Au 0.6590 0.3410 0.5000
Au 0.8320 0.1680 0.0000

***

Entry 2:
! PmAg12Au6 PBE-GGA optimized geometry; values from VASP
! **Symmetry**: R-3m, No. 166
! **Energy relative to the elements**: 1.19 eV per formula unit
&SYSTEM
  ibrav = 0, nat = 19, ntyp = 3
/
ATOMIC_SPECIES
Pm 145.00 Pm.upf
Ag 107.87 Ag.upf
Au 196.97 Au.upf
CELL_PARAMETERS angstrom
6.0583 3.4978 3.0915
-6.0583 3.4978 3.0915
0.0000 -6.9955 3.0915
ATOMIC_POSITIONS crystal
Pm 0.0000 0.0000 0.0000
Ag 0.1109 0.3602 0.3602
Ag 0.1112 0.5000 0.8888
Ag 0.1112 0.8888 0.5000
Ag 0.3602 0.1109 0.3602
Ag 0.3602 0.3602 0.1109
Ag 0.5000 0.1112 0.8888
Ag 0.5000 0.8888 0.1112
Ag 0.6398 0.6398 0.8891
Ag 0.6398 0.8891 0.6398
Ag 0.8888 0.1112 0.5000
Ag 0.8888 0.5000 0.1112
Ag 0.8891 0.6398 0.6398
Au 0.3004 0.3004 0.6955
Au 0.3004 0.6955 0.3004
Au 0.3045 0.6996 0.6996
Au 0.6955 0.3004 0.3004
Au 0.6996 0.3045 0.6996
Au 0.6996 0.6996 0.3045

***

Entry 3:
! Pm2Ag2Au PBE-GGA optimized geometry; values from VASP
! **Symmetry**: C2/m, No. 12
! **E above lowest polymorph**: 0 meV/atom
! **Energy relative to the elements**: -2.20 eV per formula unit
&SYSTEM
  ibrav = 0, nat = 10, ntyp = 3
/
ATOMIC_SPECIES
Pm 145.00 Pm.upf
Ag 107.87 Ag.upf
Au 196.97 Au.upf
CELL_PARAMETERS angstrom
5.3756 -2.0478 0.0000
5.3756 2.0478 0.0000
-4.0590 0.0000 11.2962
ATOMIC_POSITIONS crystal
Pm 0.0012 0.0012 0.3361
Pm 0.1833 0.1833 0.1113
Pm 0.8167 0.8167 0.8887
Pm 0.9988 0.9988 0.6639
Ag 0.3505 0.3505 0.4599
Ag 0.4609 0.4609 0.1056
Ag 0.5391 0.5391 0.8944
Ag 0.6495 0.6495 0.5401
Au 0.2971 0.2971 0.6927
Au 0.7029 0.7029 0.3073

***

Entry 4:
! PmAg6Au2 PBE-GGA optimized geometry; values from VASP
! **Symmetry**: C2/m, No. 12
! **Energy relative to the elements**: -0.07 eV per formula unit
&SYSTEM
  ibrav = 0, nat = 9, ntyp = 3
/
ATOMIC_SPECIES
Pm 145.00 Pm.upf
Ag 107.87 Ag.upf
Au 196.97 Au.upf
CELL_PARAMETERS angstrom
7.3462 -4.1093 0.0000
7.3462 4.1093 0.0000
-0.6075 0.0000 2.9474
ATOMIC_POSITIONS crystal
Pm 0.0000 0.0000 0.0000
Ag 0.0025 0.6495 0.3257
Ag 0.3333 0.6667 0.5000
Ag 0.3505 0.9975 0.6743
Ag 0.6495 0.0025 0.3257
Ag 0.6667 0.3333 0.5000
Ag 0.9975 0.3505 0.6743
Au 0.3474 0.3474 0.8472
Au 0.6526 0.6526 0.1528

***

Entry 5:
! PmAg2Au PBE-GGA optimized geometry; values from VASP
! **Symmetry**: P-3m1, No. 164
! **E above lowest polymorph**: 110 meV/atom
! **Energy relative to the elements**: -1.16 eV per formula unit
&SYSTEM
  ibrav = 0, nat = 8, ntyp = 3
/
ATOMIC_SPECIES
Pm 145.00 Pm.upf
Ag 107.87 Ag.upf
Au 196.97 Au.upf
CELL_PARAMETERS angstrom
4.6968 0.0000 0.0000
-2.3484 4.0675 0.0000
0.0000 0.0000 10.1725
ATOMIC_POSITIONS crystal
Pm 0.0000 0.0000 0.1960
Pm 0.0000 0.0000 0.8040
Ag 0.3333 0.6667 0.4088
Ag 0.3333 0.6667 0.9791
Ag 0.6667 0.3333 0.0209
Ag 0.6667 0.3333 0.5912
Au 0.3333 0.6667 0.6836
Au 0.6667 0.3333 0.3164

***

Entry 6:
! Pm3Ag2Au7 PBE-GGA optimized geometry; values from VASP
! **Symmetry**: Cmmm, No. 65
! **Energy relative to the elements**: -5.43 eV per formula unit
&SYSTEM
  ibrav = 0, nat = 12, ntyp = 3
/
ATOMIC_SPECIES
Pm 145.00 Pm.upf
Ag 107.87 Ag.upf
Au 196.97 Au.upf
CELL_PARAMETERS angstrom
2.2865 -15.2128 0.0000
2.2865 15.2128 0.0000
0.0000 0.0000 3.8587
ATOMIC_POSITIONS crystal
Pm 0.0000 0.0000 0.0000
Pm 0.1847 0.8153 0.0000
Pm 0.8153 0.1847 0.0000
Ag 0.3635 0.6365 0.5000
Ag 0.6365 0.3635 0.5000
Au 0.0834 0.9166 0.5000
Au 0.2751 0.7249 0.5000
Au 0.4297 0.5703 0.0000
Au 0.5000 0.5000 0.5000
Au 0.5703 0.4297 0.0000
Au 0.7249 0.2751 0.5000
Au 0.9166 0.0834 0.5000

***

Entry 7:
! PmAg2Au PBE-GGA optimized geometry; values from VASP
! **Symmetry**: P2_1/m, No. 11
! **E above lowest polymorph**: 0 meV/atom
! **Energy relative to the elements**: -1.60 eV per formula unit
&SYSTEM
  ibrav = 0, nat = 8, ntyp = 3
/
ATOMIC_SPECIES
Pm 145.00 Pm.upf
Ag 107.87 Ag.upf
Au 196.97 Au.upf
CELL_PARAMETERS angstrom
4.3972 0.0000 0.0000
0.0000 7.8786 0.0000
-2.1952 0.0000 5.1345
ATOMIC_POSITIONS crystal
Pm 0.0719 0.2500 0.1430
Pm 0.9281 0.7500 0.8570
Ag 0.3701 0.0563 0.7402
Ag 0.3701 0.4437 0.7402
Ag 0.6299 0.5563 0.2598
Ag 0.6299 0.9437 0.2598
Au 0.2218 0.7500 0.4453
Au 0.7782 0.2500 0.5547

***

Entry 8:
! Pm2Ag3Au PBE-GGA optimized geometry; values from VASP
! **Symmetry**: Fmmm, No. 69
! **Energy relative to the elements**: -2.38 eV per formula unit
&SYSTEM
  ibrav = 0, nat = 12, ntyp = 3
/
ATOMIC_SPECIES
Pm 145.00 Pm.upf
Ag 107.87 Ag.upf
Au 196.97 Au.upf
CELL_PARAMETERS angstrom
0.0000 4.7934 8.3272
3.5079 0.0000 8.3272
3.5079 4.7934 0.0000
ATOMIC_POSITIONS crystal
Pm 0.2482 0.7518 0.7518
Pm 0.2500 0.2500 0.2500
Pm 0.7500 0.7500 0.7500
Pm 0.7518 0.2482 0.2482
Ag 0.1687 0.6657 0.3343
Ag 0.3341 0.3341 0.6659
Ag 0.3343 0.8313 0.1687
Ag 0.6657 0.1687 0.8313
Ag 0.6659 0.6659 0.3341
Ag 0.8313 0.3343 0.6657
Au 0.1667 0.1667 0.8333
Au 0.8333 0.8333 0.1667

***

Number 1: magnetization 0.000 μB/f.u.. Number 2: magnetization 0.000 μB/f.u.. Number 3: magnetization 0.000 μB/f.u.. Number 4: magnetization 0.000 μB/f.u.. Number 5: magnetization 0.000 μB/f.u.. Number 6: magnetization 0.000 μB/f.u.. Number 7: magnetization 0.000 μB/f.u.. Number 8: magnetization 0.000 μB/f.u..